a) An optimized crystal structure of RbMnGe2. Source: the Alexandria database, functional PBE.

a b c (Å): 4.939 4.939 4.939
angles (deg): 60.00 60.00 60.00
Element x y z (fractional)
Rb 0.000 0.000 0.000
Mn 0.500 0.500 0.500
Ge 0.250 0.250 0.250
Ge 0.750 0.750 0.750

Summary:
Calculated volume = 21.297 Å³ per atom
Space group = Fm-3m



b) An optimized crystal structure of RbMnGe2. Source: the Alexandria database, functional PBE.

a b c (Å): 7.998 7.998 7.998
angles (deg): 134.90 134.90 65.68
Element x y z (fractional)
Rb 0.375 0.625 0.750
Rb 0.625 0.375 0.250
Mn 0.125 0.875 0.250
Mn 0.875 0.125 0.750
Ge 0.000 0.000 0.000
Ge 0.000 0.000 0.500
Ge 0.000 0.500 0.000
Ge 0.500 0.000 0.500

Summary:
Calculated volume = 31.602 Å³ per atom
Space group = I4_1/amd



c) An optimized crystal structure of RbMnGe2. Source: the Alexandria database, functional PBE.

a b c (Å): 7.343 7.343 7.343
angles (deg): 33.10 33.10 33.10
Element x y z (fractional)
Rb 0.000 0.000 0.000
Mn 0.500 0.500 0.500
Ge 0.206 0.206 0.206
Ge 0.794 0.794 0.794

Summary:
Calculated volume = 26.276 Å³ per atom
Space group = R-3m



Most stable structure: c)



a) An optimized crystal structure of RbMn3Ge. Source: the Alexandria database, functional PBE.

a b c (Å): 4.901 4.901 4.901
angles (deg): 90.00 90.00 90.00
Element x y z (fractional)
Rb 0.000 0.000 0.000
Mn 0.000 0.000 0.500
Mn 0.000 0.500 0.000
Mn 0.500 0.000 0.000
Ge 0.500 0.500 0.500

Summary:
Calculated volume = 23.539 Å³ per atom
Space group = Pm-3m



b) An optimized crystal structure of RbMn3Ge. Source: the Alexandria database, functional PBE.

a b c (Å): 5.067 5.067 5.067
angles (deg): 90.00 90.00 90.00
Element x y z (fractional)
Rb 0.000 0.000 0.000
Mn 0.000 0.500 0.500
Mn 0.500 0.000 0.500
Mn 0.500 0.500 0.000
Ge 0.500 0.500 0.500

Summary:
Calculated volume = 26.017 Å³ per atom
Space group = Pm-3m



Most stable structure: b)



a) An optimized crystal structure of MnReGe2. Source: the Alexandria database, functional PBE.

a b c (Å): 8.188 8.188 8.188
angles (deg): 20.40 20.40 20.40
Element x y z (fractional)
Mn 0.000 0.000 0.000
Re 0.500 0.500 0.500
Ge 0.252 0.252 0.252
Ge 0.748 0.748 0.748

Summary:
Calculated volume = 14.591 Å³ per atom
Space group = R-3m



b) An optimized crystal structure of MnReGe2. Source: the Alexandria database, functional PBE.

a b c (Å): 5.582 5.582 5.582
angles (deg): 104.50 104.50 119.95
Element x y z (fractional)
Mn 0.000 0.000 0.000
Mn 0.750 0.250 0.500
Re 0.250 0.750 0.500
Re 0.500 0.500 0.000
Ge 0.124 0.625 0.999
Ge 0.375 0.374 0.499
Ge 0.626 0.125 0.001
Ge 0.875 0.876 0.501

Summary:
Calculated volume = 16.310 Å³ per atom
Space group = I-42d



Most stable structure: a)



a) An optimized crystal structure of MnReGe2. Source: the Alexandria database, functional PBE.

a b c (Å): 4.297 4.297 4.297
angles (deg): 60.00 60.00 60.00
Element x y z (fractional)
Mn 0.000 0.000 0.000
Re 0.500 0.500 0.500
Ge 0.250 0.250 0.250
Ge 0.750 0.750 0.750

Summary:
Calculated volume = 14.021 Å³ per atom
Space group = Fm-3m



b) An optimized crystal structure of MnReGe2. Source: the Alexandria database, functional PBE.

a b c (Å): 7.893 7.893 7.893
angles (deg): 21.64 21.64 21.64
Element x y z (fractional)
Mn 0.000 0.000 0.000
Re 0.163 0.163 0.163
Ge 0.413 0.413 0.413
Ge 0.583 0.583 0.583

Summary:
Calculated volume = 14.656 Å³ per atom
Space group = R3m



Most stable structure: b)



a) An optimized crystal structure of MnGeRh3. Source: the Alexandria database, functional PBE.

a b c (Å): 4.447 4.447 4.447
angles (deg): 90.00 90.00 90.00
Element x y z (fractional)
Mn 0.000 0.000 0.000
Ge 0.500 0.500 0.500
Rh 0.000 0.000 0.500
Rh 0.000 0.500 0.000
Rh 0.500 0.000 0.000

Summary:
Calculated volume = 17.592 Å³ per atom
Space group = Pm-3m



b) An optimized crystal structure of MnGeRh3. Source: the Alexandria database, functional PBE.

a b c (Å): 4.477 4.477 4.477
angles (deg): 90.00 90.00 90.00
Element x y z (fractional)
Mn 0.000 0.000 0.000
Ge 0.500 0.500 0.500
Rh 0.000 0.500 0.500
Rh 0.500 0.000 0.500
Rh 0.500 0.500 0.000

Summary:
Calculated volume = 17.949 Å³ per atom
Space group = Pm-3m



Most stable structure: a)



a) An optimized crystal structure of MnGe2Rh. Source: the Alexandria database, functional PBE.

a b c (Å): 4.221 4.221 3.032
angles (deg): 90.00 90.00 90.00
Element x y z (fractional)
Mn 0.000 0.000 0.000
Ge 0.000 0.500 0.500
Ge 0.500 0.000 0.500
Rh 0.500 0.500 0.000

Summary:
Calculated volume = 13.505 Å³ per atom
Space group = P4/mmm



b) An optimized crystal structure of MnGe2Rh. Source: the Alexandria database, functional PBE.

a b c (Å): 2.990 2.990 5.995
angles (deg): 90.00 90.00 90.00
Element x y z (fractional)
Mn 0.000 0.000 0.000
Ge 0.500 0.500 0.229
Ge 0.500 0.500 0.771
Rh 0.000 0.000 0.500

Summary:
Calculated volume = 13.395 Å³ per atom
Space group = P4/mmm



Most stable structure: b)



a) An optimized crystal structure of MnVGeRh. Source: the Alexandria database, functional PBE.

a b c (Å): 4.194 4.194 4.194
angles (deg): 60.00 60.00 60.00
Element x y z (fractional)
Mn 0.000 0.000 0.000
V 0.750 0.750 0.750
Ge 0.250 0.250 0.250
Rh 0.500 0.500 0.500

Summary:
Calculated volume = 13.037 Å³ per atom
Space group = F-43m



b) An optimized crystal structure of MnVGeRh. Source: the Alexandria database, functional PBE.

a b c (Å): 4.276 4.276 4.276
angles (deg): 60.00 60.00 60.00
Element x y z (fractional)
Mn 0.000 0.000 0.000
V 0.250 0.250 0.250
Ge 0.500 0.500 0.500
Rh 0.750 0.750 0.750

Summary:
Calculated volume = 13.819 Å³ per atom
Space group = F-43m



Most stable structure: b)